A geometry-optimized TaV5 structure, computed with PBE-GGA.

```
TaV5
1.0
4.332 0.000 0.000
-2.166 3.748 -0.173
0.000 0.244 5.286
V Ta
5 1
Direct
0.500 0.000 0.000
0.833 0.667 0.160
0.167 0.333 0.840
0.167 0.333 0.319
0.833 0.667 0.681
0.500 0.000 0.500
```

## Properties
Density of states at the Fermi level = 1.92 states/eV/atom
Symmetry = P-3m1, No. 164
DFT formation energy = 0.19 eV per formula unit
Total moment = 0.000 μB per cell
Relative energy among the computed polymorphs = 0.004 eV per atom